# 1
# CuIr2Os

An optimized crystal structure of CuIr2Os (GGA-PBE, the Alexandria database).

Unit cell a=2.722 b=4.546 c=4.620 alpha=90.00 beta=90.00 gamma=90.00
Element x y z (fractional)
Cu1 0.000 0.000 0.000
Ir1 0.000 0.500 0.500
Ir2 0.500 0.500 0.000
Os1 0.500 0.000 0.500

E, eV/atom: -7.8114
Polymorph energy (0 for the lowest one), meV/atom: 408.1
Formation enthalpy at 0 K, eV/atom: 0.451
Space-group type: Pmmm (47)
Total magnetic moment, μB per atom: 0.00
Fermi-level density of states, states/eV per cell: 4.8


# 2
# Cs2Tl2Br2O

An optimized crystal structure of Cs2Tl2Br2O (GGA-PBE, the Alexandria database).

Unit cell a=7.055 b=7.055 c=9.436 alpha=116.55 beta=116.55 gamma=40.01
Element x y z (fractional)
Cs1 0.042 0.042 0.299
Cs2 0.958 0.958 0.701
Tl1 0.314 0.314 0.933
Tl2 0.686 0.686 0.067
Br1 0.328 0.328 0.352
Br2 0.672 0.672 0.648
O1 0.500 0.500 0.000

E, eV/atom: -3.2573
Space-group type: C2/m (12)
E_form (uncorrected), meV per atom: -1151.1
Total magnetic moment, μB per atom: 0.00
Fermi-level density of states, states/eV per cell: 0.0